The following is a PBE calculation of Ce12Si6Ru after structural relaxation, from the Alexandria database.

Output
Formation energy without anion corrections   -0.363 eV/atom

Cell: 7.765 7.765 7.765 Å, 94.94 94.94 94.94°
Element x y z (fractional)
1 Ce 0.014 0.914 0.654
2 Ce 0.086 0.346 0.986
3 Ce 0.162 0.429 0.535
4 Ce 0.346 0.986 0.086
5 Ce 0.429 0.535 0.162
6 Ce 0.465 0.838 0.571
7 Ce 0.535 0.162 0.429
8 Ce 0.571 0.465 0.838
9 Ce 0.654 0.014 0.914
10 Ce 0.838 0.571 0.465
11 Ce 0.914 0.654 0.014
12 Ce 0.986 0.086 0.346
13 Si 0.162 0.741 0.327
14 Si 0.259 0.673 0.838
15 Si 0.327 0.162 0.741
16 Si 0.673 0.838 0.259
17 Si 0.741 0.327 0.162
18 Si 0.838 0.259 0.673
19 Ru 0.000 0.000 0.000


The following is a PBE calculation of Ce6SiRu2 after structural relaxation, from the Alexandria database.

Output
Formation energy without anion corrections   -0.340 eV/atom

Cell: 5.608 5.608 8.636 Å, 95.51 95.51 50.86°
Element x y z (fractional)
1 Ce 0.052 0.052 0.348
2 Ce 0.310 0.310 0.907
3 Ce 0.391 0.391 0.328
4 Ce 0.609 0.609 0.672
5 Ce 0.690 0.690 0.093
6 Ce 0.948 0.948 0.652
7 Si 0.000 0.000 0.000
8 Ru 0.271 0.271 0.622
9 Ru 0.729 0.729 0.378


The following is a PBE calculation of Ce3Si3Ru2 after structural relaxation, from the Alexandria database.

Output
Formation energy without anion corrections   -0.687 eV/atom

Cell: 5.844 5.844 14.204 Å, 90.00 90.00 138.58°
Element x y z (fractional)
1 Ce 0.052 0.948 0.598
2 Ce 0.052 0.948 0.902
3 Ce 0.330 0.670 0.750
4 Ce 0.670 0.330 0.250
5 Ce 0.948 0.052 0.098
6 Ce 0.948 0.052 0.402
7 Si 0.332 0.668 0.534
8 Si 0.332 0.668 0.966
9 Si 0.381 0.619 0.250
10 Si 0.619 0.381 0.750
11 Si 0.668 0.332 0.034
12 Si 0.668 0.332 0.466
13 Ru 0.224 0.776 0.118
14 Ru 0.224 0.776 0.382
15 Ru 0.776 0.224 0.618
16 Ru 0.776 0.224 0.882


The following is a PBE calculation of Ce8SiRu5 after structural relaxation, from the Alexandria database.

Output
Formation energy without anion corrections   -0.358 eV/atom

Cell: 7.483 7.483 7.483 Å, 108.31 108.31 111.81°
Element x y z (fractional)
1 Ce 0.013 0.893 0.249
2 Ce 0.107 0.355 0.120
3 Ce 0.138 0.391 0.646
4 Ce 0.236 0.987 0.880
5 Ce 0.508 0.862 0.253
6 Ce 0.609 0.255 0.747
7 Ce 0.645 0.764 0.751
8 Ce 0.745 0.492 0.354
9 Si 0.250 0.750 0.500
10 Ru 0.018 0.632 0.875
11 Ru 0.368 0.242 0.386
12 Ru 0.500 0.500 0.000
13 Ru 0.758 0.143 0.125
14 Ru 0.857 0.982 0.614


The following is a PBE calculation of Ce4Si2Ru after structural relaxation, from the Alexandria database.

Output
Formation energy without anion corrections   -0.482 eV/atom

Cell: 5.907 5.907 4.330 Å, 90.00 90.00 94.58°
Element x y z (fractional)
1 Ce 0.000 0.500 0.500
2 Ce 0.171 0.171 0.000
3 Ce 0.500 0.000 0.500
4 Ce 0.829 0.829 0.000
5 Si 0.329 0.671 0.000
6 Si 0.671 0.329 0.000
7 Ru 0.500 0.500 0.500


The following is a PBE calculation of CeSi3Ru3 after structural relaxation, from the Alexandria database.

Output
Formation energy without anion corrections   -0.226 eV/atom

Cell: 6.503 6.503 6.503 Å, 90.00 90.00 90.00°
Element x y z (fractional)
1 Ce 0.000 0.000 0.000
2 Ce 0.500 0.500 0.500
3 Si 0.000 0.250 0.500
4 Si 0.000 0.750 0.500
5 Si 0.250 0.500 0.000
6 Si 0.500 0.000 0.250
7 Si 0.500 0.000 0.750
8 Si 0.750 0.500 0.000
9 Ru 0.000 0.500 0.250
10 Ru 0.000 0.500 0.750
11 Ru 0.250 0.000 0.500
12 Ru 0.500 0.250 0.000
13 Ru 0.500 0.750 0.000
14 Ru 0.750 0.000 0.500


The following is a PBE calculation of CeSiRu after structural relaxation, from the Alexandria database.

Output
Formation energy without anion corrections   -0.623 eV/atom

Cell: 4.211 4.211 3.889 Å, 90.00 90.00 120.00°
Element x y z (fractional)
1 Ce 0.000 0.000 0.000
2 Si 0.333 0.667 0.500
3 Ru 0.667 0.333 0.500


The following is a PBE calculation of Ce2Si2SnRu5 after structural relaxation, from the Alexandria database.

Output
Formation energy without anion corrections   -0.617 eV/atom

Cell: 10.077 10.077 3.372 Å, 90.00 90.00 90.00°
Element x y z (fractional)
1 Ce 0.176 0.324 0.000
2 Ce 0.324 0.824 0.000
3 Ce 0.676 0.176 0.000
4 Ce 0.824 0.676 0.000
5 Si 0.122 0.622 0.000
6 Si 0.378 0.122 0.000
7 Si 0.622 0.878 0.000
8 Si 0.878 0.378 0.000
9 Sn 0.000 0.000 0.000
10 Sn 0.500 0.500 0.000
11 Ru 0.000 0.500 0.500
12 Ru 0.070 0.784 0.500
13 Ru 0.216 0.070 0.500
14 Ru 0.284 0.570 0.500
15 Ru 0.430 0.284 0.500
16 Ru 0.500 0.000 0.500
17 Ru 0.570 0.716 0.500
18 Ru 0.716 0.430 0.500
19 Ru 0.784 0.930 0.500
20 Ru 0.930 0.216 0.500


The following is a PBE calculation of Ce2TaSi2Ru5 after structural relaxation, from the Alexandria database.

Output
Formation energy without anion corrections   -0.590 eV/atom

Cell: 10.150 10.150 3.273 Å, 90.00 90.00 90.00°
Element x y z (fractional)
1 Ce 0.174 0.326 0.000
2 Ce 0.326 0.826 0.000
3 Ce 0.674 0.174 0.000
4 Ce 0.826 0.674 0.000
5 Ta 0.000 0.000 0.000
6 Ta 0.500 0.500 0.000
7 Si 0.124 0.624 0.000
8 Si 0.376 0.124 0.000
9 Si 0.624 0.876 0.000
10 Si 0.876 0.376 0.000
11 Ru 0.000 0.500 0.500
12 Ru 0.068 0.791 0.500
13 Ru 0.209 0.068 0.500
14 Ru 0.291 0.568 0.500
15 Ru 0.432 0.291 0.500
16 Ru 0.500 0.000 0.500
17 Ru 0.568 0.709 0.500
18 Ru 0.709 0.432 0.500
19 Ru 0.791 0.932 0.500
20 Ru 0.932 0.209 0.500


The following is a PBE calculation of CeSi2TcRu after structural relaxation, from the Alexandria database.

Output
Formation energy without anion corrections   -0.743 eV/atom

Cell: 5.671 5.671 5.671 Å, 135.93 135.93 64.09°
Element x y z (fractional)
1 Ce 0.000 0.000 0.000
2 Si 0.367 0.367 0.000
3 Si 0.633 0.633 0.000
4 Tc 0.750 0.250 0.500
5 Ru 0.250 0.750 0.500


The following is a PBE calculation of Ce2Th2Si4Ru after structural relaxation, from the Alexandria database.

Output
Formation energy without anion corrections   -0.392 eV/atom

Cell: 6.419 6.419 6.419 Å, 112.57 112.57 103.44°
Element x y z (fractional)
1 Ce 0.179 0.179 0.000
2 Ce 0.821 0.821 0.000
3 Th 0.250 0.750 0.500
4 Th 0.750 0.250 0.500
5 Si 0.258 0.258 0.516
6 Si 0.258 0.742 0.000
7 Si 0.742 0.258 0.000
8 Si 0.742 0.742 0.484
9 Ru 0.500 0.500 0.000


The following is a PBE calculation of Ce2TmSi2Ru5 after structural relaxation, from the Alexandria database.

Output
Formation energy without anion corrections   -0.627 eV/atom

Cell: 10.227 10.227 3.361 Å, 90.00 90.00 90.00°
Element x y z (fractional)
1 Ce 0.174 0.326 0.000
2 Ce 0.326 0.826 0.000
3 Ce 0.674 0.174 0.000
4 Ce 0.826 0.674 0.000
5 Tm 0.000 0.000 0.000
6 Tm 0.500 0.500 0.000
7 Si 0.123 0.623 0.000
8 Si 0.377 0.123 0.000
9 Si 0.623 0.877 0.000
10 Si 0.877 0.377 0.000
11 Ru 0.000 0.500 0.500
12 Ru 0.070 0.781 0.500
13 Ru 0.219 0.070 0.500
14 Ru 0.281 0.570 0.500
15 Ru 0.430 0.281 0.500
16 Ru 0.500 0.000 0.500
17 Ru 0.570 0.719 0.500
18 Ru 0.719 0.430 0.500
19 Ru 0.781 0.930 0.500
20 Ru 0.930 0.219 0.500


The following is a PBE calculation of CeUSi2Ru5 after structural relaxation, from the Alexandria database.

Output
Formation energy without anion corrections   -0.083 eV/atom

Cell: 3.882 3.882 11.346 Å, 90.00 90.00 90.00°
Element x y z (fractional)
1 Ce 0.000 0.000 0.000
2 U 0.500 0.500 0.500
3 Si 0.500 0.500 0.207
4 Si 0.500 0.500 0.793
5 Ru 0.000 0.500 0.331
6 Ru 0.000 0.500 0.669
7 Ru 0.500 0.000 0.331
8 Ru 0.500 0.000 0.669
9 Ru 0.500 0.500 0.000


The following is a PBE calculation of Ce2USi2Ru5 after structural relaxation, from the Alexandria database.

Output
Formation energy without anion corrections   -0.553 eV/atom

Cell: 10.052 10.052 3.471 Å, 90.00 90.00 90.00°
Element x y z (fractional)
1 Ce 0.171 0.329 0.000
2 Ce 0.329 0.829 0.000
3 Ce 0.671 0.171 0.000
4 Ce 0.829 0.671 0.000
5 U 0.000 0.000 0.000
6 U 0.500 0.500 0.000
7 Si 0.125 0.625 0.000
8 Si 0.375 0.125 0.000
9 Si 0.625 0.875 0.000
10 Si 0.875 0.375 0.000
11 Ru 0.000 0.500 0.500
12 Ru 0.070 0.788 0.500
13 Ru 0.212 0.070 0.500
14 Ru 0.288 0.570 0.500
15 Ru 0.430 0.288 0.500
16 Ru 0.500 0.000 0.500
17 Ru 0.570 0.712 0.500
18 Ru 0.712 0.430 0.500
19 Ru 0.788 0.930 0.500
20 Ru 0.930 0.212 0.500


The following is a PBE calculation of Ce2VSi2Ru5 after structural relaxation, from the Alexandria database.

Output
Formation energy without anion corrections   -0.505 eV/atom

Cell: 10.114 10.114 3.192 Å, 90.00 90.00 90.00°
Element x y z (fractional)
1 Ce 0.174 0.326 0.000
2 Ce 0.326 0.826 0.000
3 Ce 0.674 0.174 0.000
4 Ce 0.826 0.674 0.000
5 V 0.000 0.000 0.000
6 V 0.500 0.500 0.000
7 Si 0.126 0.626 0.000
8 Si 0.374 0.126 0.000
9 Si 0.626 0.874 0.000
10 Si 0.874 0.374 0.000
11 Ru 0.000 0.500 0.500
12 Ru 0.066 0.795 0.500
13 Ru 0.205 0.066 0.500
14 Ru 0.295 0.566 0.500
15 Ru 0.434 0.295 0.500
16 Ru 0.500 0.000 0.500
17 Ru 0.566 0.705 0.500
18 Ru 0.705 0.434 0.500
19 Ru 0.795 0.934 0.500
20 Ru 0.934 0.205 0.500


The following is a PBE calculation of Ce5Sm5Ru6 after structural relaxation, from the Alexandria database.

Output
Energy of formation from the pure elements   -289 meV/atom

Cell: 6.283 8.629 8.629 Å, 125.07 90.00 90.00°
Element x y z (fractional)
1 Ce 0.000 0.000 0.000
2 Ce 0.251 0.603 0.953
3 Ce 0.251 0.953 0.603
4 Ce 0.749 0.603 0.953
5 Ce 0.749 0.953 0.603
6 Sm 0.000 0.282 0.520
7 Sm 0.000 0.520 0.282
8 Sm 0.500 0.040 0.275
9 Sm 0.500 0.275 0.040
10 Sm 0.500 0.545 0.545
11 Ru 0.000 0.241 0.851
12 Ru 0.000 0.697 0.697
13 Ru 0.000 0.851 0.241
14 Ru 0.500 0.315 0.712
15 Ru 0.500 0.712 0.315
16 Ru 0.500 0.887 0.887


The following is a PBE calculation of Ce2Sm2Ru3 after structural relaxation, from the Alexandria database.

Output
Energy of formation from the pure elements   -261 meV/atom
E above lowest polymorph   105.0 meV/atom

Cell: 4.374 5.923 7.405 Å, 98.77 90.05 111.61°
Element x y z (fractional)
1 Ce 0.132 0.264 0.400
2 Ce 0.868 0.736 0.600
3 Sm 0.371 0.741 0.136
4 Sm 0.629 0.259 0.864
5 Ru 0.311 0.622 0.743
6 Ru 0.500 0.000 0.500
7 Ru 0.689 0.378 0.257


The following is a PBE calculation of CeSmRu after structural relaxation, from the Alexandria database.

Output
Energy of formation from the pure elements   -224 meV/atom
E above lowest polymorph   0.0 meV/atom

Cell: 5.711 8.661 7.203 Å, 90.00 112.84 90.00°
Element x y z (fractional)
1 Ce 0.238 0.121 0.483
2 Ce 0.238 0.379 0.983
3 Ce 0.762 0.621 0.017
4 Ce 0.762 0.879 0.517
5 Sm 0.271 0.630 0.523
6 Sm 0.271 0.870 0.023
7 Sm 0.729 0.130 0.977
8 Sm 0.729 0.370 0.477
9 Ru 0.052 0.128 0.743
10 Ru 0.052 0.372 0.243
11 Ru 0.948 0.628 0.757
12 Ru 0.948 0.872 0.257


The following is a PBE calculation of CeSmRu after structural relaxation, from the Alexandria database.

Output
Energy of formation from the pure elements   -171 meV/atom
E above lowest polymorph   53.5 meV/atom

Cell: 6.144 6.144 6.144 Å, 146.50 146.50 48.10°
Element x y z (fractional)
1 Ce 0.000 0.000 0.000
2 Sm 0.292 0.292 0.000
3 Ru 0.617 0.617 0.000


The following is a PBE calculation of CeSmRu after structural relaxation, from the Alexandria database.

Output
Energy of formation from the pure elements   -137 meV/atom
E above lowest polymorph   87.1 meV/atom

Cell: 4.842 4.842 4.842 Å, 60.00 60.00 60.00°
Element x y z (fractional)
1 Ce 0.000 0.000 0.000
2 Sm 0.500 0.500 0.500
3 Ru 0.750 0.750 0.750


D(E_F)
In order: 46.6; 18.7; 22.4; 23.0; 12.2; 18.3; 5.3; 13.6; 17.8; 6.6; 11.0; 11.0; 11.7; 24.6; 16.4; 19.2; 4.6; 18.3; 4.4; 6.5
Unit: states/eV/cell